First-principles (GGA-PBE) data for an optimized crystal structure of GdTlGaPd, as listed in Alexandria via LeMat-Bulk.

Cell lengths 6.9928, 6.9928, 6.9928 Å; angles 90.00, 90.00, 90.00 degrees
Space group F-43m (No. 216)
One atom of each set of equivalent atoms:
Gd 0.0000 0.0000 0.0000 [4 per cell]
Tl 0.0000 0.0000 0.5000 [4 per cell]
Ga 0.2500 0.2500 0.2500 [4 per cell]
Pd 0.2500 0.2500 0.7500 [4 per cell]

Values from the calculation:
Density of states at the Fermi level, states/eV per atom: 0.617
DFT formation energy, meV per atom: -454
Theoretical density, g cm⁻³: 10.45
Crystal system: cubic